{
  "formula": "TaSiRh2",
  "functional": "PBE-GGA",
  "state": "relaxed",
  "final_energy_ev_per_cell": -34.0,
  "mass_density_g_cm3": 11.73,
  "space_group": "I-4m2 (119)",
  "cell": [[-1.9101, 1.9101, 4.0247], [1.9101, -1.9101, 4.0247], [1.9101, 1.9101, -4.0247]],
  "species": ["Ta", "Si", "Rh", "Rh"],
  "fractional_positions": [[0.0000, 0.0000, 0.0000], [0.7500, 0.2500, 0.5000], [0.2500, 0.7500, 0.5000], [0.5000, 0.5000, 0.0000]]
}

---

{
  "formula": "TaSiRh2",
  "functional": "PBE-GGA",
  "state": "relaxed",
  "final_energy_ev_per_cell": -34.7,
  "mass_density_g_cm3": 12.01,
  "space_group": "P4/mmm (123)",
  "cell": [[2.8572, 0.0000, 0.0000], [0.0000, 2.8572, 0.0000], [0.0000, 0.0000, 7.0255]],
  "species": ["Ta", "Si", "Rh", "Rh"],
  "fractional_positions": [[0.0000, 0.0000, 0.0000], [0.0000, 0.0000, 0.5000], [0.5000, 0.5000, 0.2915], [0.5000, 0.5000, 0.7085]]
}

---

{
  "formula": "TaSi2Rh",
  "functional": "PBE-GGA",
  "state": "relaxed",
  "final_energy_ev_per_cell": -31.4,
  "mass_density_g_cm3": 9.61,
  "space_group": "R-3m (166)",
  "cell": [[1.4410, 0.8320, 8.1705], [-1.4410, 0.8320, 8.1705], [0.0000, -1.6639, 8.1705]],
  "species": ["Ta", "Si", "Si", "Rh"],
  "fractional_positions": [[0.0000, 0.0000, 0.0000], [0.2435, 0.2435, 0.2435], [0.7565, 0.7565, 0.7565], [0.5000, 0.5000, 0.5000]]
}

---

{
  "formula": "TaSi2Rh",
  "functional": "PBE-GGA",
  "state": "relaxed",
  "final_energy_ev_per_cell": -31.6,
  "mass_density_g_cm3": 9.73,
  "space_group": "Cmmm (65)",
  "cell": [[1.9317, -2.2614, 0.0000], [1.9317, 2.2614, 0.0000], [0.0000, 0.0000, 6.6420]],
  "species": ["Ta", "Si", "Si", "Rh"],
  "fractional_positions": [[0.0000, 0.0000, 0.0000], [0.5000, 0.5000, 0.2718], [0.5000, 0.5000, 0.7282], [0.0000, 0.0000, 0.5000]]
}

---

{
  "formula": "Ta6SiRh12",
  "functional": "PBE-GGA",
  "state": "relaxed",
  "final_energy_ev_per_cell": -173.6,
  "mass_density_g_cm3": 13.37,
  "space_group": "R-3 (148)",
  "cell": [[6.0712, 3.5052, 2.2842], [-6.0712, 3.5052, 2.2842], [0.0000, -7.0104, 2.2842]],
  "species": ["Ta", "Ta", "Ta", "Ta", "Ta", "Ta", "Si", "Rh", "Rh", "Rh", "Rh", "Rh", "Rh", "Rh", "Rh", "Rh", "Rh", "Rh", "Rh"],
  "fractional_positions": [[0.0905, 0.5946, 0.3772], [0.3772, 0.0905, 0.5946], [0.4054, 0.6228, 0.9095], [0.5946, 0.3772, 0.0905], [0.6228, 0.9095, 0.4054], [0.9095, 0.4054, 0.6228], [0.0000, 0.0000, 0.0000], [0.1070, 0.1665, 0.7372], [0.1665, 0.7372, 0.1070], [0.2036, 0.3206, 0.4690], [0.2628, 0.8930, 0.8335], [0.3206, 0.4690, 0.2036], [0.4690, 0.2036, 0.3206], [0.5310, 0.7964, 0.6794], [0.6794, 0.5310, 0.7964], [0.7372, 0.1070, 0.1665], [0.7964, 0.6794, 0.5310], [0.8335, 0.2628, 0.8930], [0.8930, 0.8335, 0.2628]]
}

---

{
  "formula": "TaSi2Rh",
  "functional": "PBE-GGA",
  "state": "relaxed",
  "final_energy_ev_per_cell": -32.0,
  "mass_density_g_cm3": 9.30,
  "space_group": "Imm2 (44)",
  "cell": [[-1.7276, 1.7426, 5.0401], [1.7276, -1.7426, 5.0401], [1.7276, 1.7426, -5.0401]],
  "species": ["Ta", "Si", "Si", "Rh"],
  "fractional_positions": [[0.0000, 0.0000, 0.0000], [0.3029, 0.8029, 0.5000], [0.5757, 0.5757, 0.0000], [0.7486, 0.2486, 0.5000]]
}

---

{
  "formula": "TaSi2Rh",
  "functional": "PBE-GGA",
  "state": "relaxed",
  "final_energy_ev_per_cell": -31.0,
  "mass_density_g_cm3": 9.39,
  "space_group": "R3m (160)",
  "cell": [[1.4655, 0.8461, 8.0847], [-1.4655, 0.8461, 8.0847], [0.0000, -1.6922, 8.0847]],
  "species": ["Ta", "Si", "Si", "Rh"],
  "fractional_positions": [[0.0000, 0.0000, 0.0000], [0.2471, 0.2471, 0.2471], [0.4997, 0.4997, 0.4997], [0.7601, 0.7601, 0.7601]]
}

---

{
  "formula": "TaSiRh2",
  "functional": "PBE-GGA",
  "state": "relaxed",
  "final_energy_ev_per_cell": -62.9,
  "mass_density_g_cm3": 8.26,
  "space_group": "I-42d (122)",
  "cell": [[-2.7139, 2.7139, 5.6625], [2.7139, -2.7139, 5.6625], [2.7139, 2.7139, -5.6625]],
  "species": ["Ta", "Ta", "Si", "Si", "Rh", "Rh", "Rh", "Rh"],
  "fractional_positions": [[0.0000, 0.0000, 0.0000], [0.7500, 0.2500, 0.5000], [0.2500, 0.7500, 0.5000], [0.5000, 0.5000, 0.0000], [0.1553, 0.6250, 0.0303], [0.3750, 0.4053, 0.5303], [0.5947, 0.1250, 0.9697], [0.8750, 0.8447, 0.4697]]
}

---

{
  "formula": "TaSiTeRh2",
  "functional": "PBE-GGA",
  "state": "relaxed",
  "final_energy_ev_per_cell": -28.7,
  "mass_density_g_cm3": 7.82,
  "space_group": "P4/mmm (123)",
  "cell": [[4.7441, 0.0000, 0.0000], [0.0000, 4.7441, 0.0000], [0.0000, 0.0000, 5.1193]],
  "species": ["Ta", "Si", "Te", "Rh", "Rh"],
  "fractional_positions": [[0.0000, 0.0000, 0.0000], [0.5000, 0.5000, 0.0000], [0.0000, 0.0000, 0.5000], [0.0000, 0.5000, 0.5000], [0.5000, 0.0000, 0.5000]]
}

---

{
  "formula": "Y2TaSiRh6",
  "functional": "PBE-GGA",
  "state": "relaxed",
  "final_energy_ev_per_cell": -78.7,
  "mass_density_g_cm3": 8.75,
  "space_group": "C2/m (12)",
  "cell": [[5.1458, -3.0086, 0.0000], [5.1458, 3.0086, 0.0000], [-3.1481, 0.0000, 6.1531]],
  "species": ["Y", "Y", "Ta", "Si", "Rh", "Rh", "Rh", "Rh", "Rh", "Rh"],
  "fractional_positions": [[0.2444, 0.2444, 0.2952], [0.7556, 0.7556, 0.7048], [0.0000, 0.0000, 0.5000], [0.5000, 0.5000, 0.0000], [0.1539, 0.6947, 0.1556], [0.2668, 0.2668, 0.7355], [0.3053, 0.8461, 0.8444], [0.6947, 0.1539, 0.1556], [0.7332, 0.7332, 0.2645], [0.8461, 0.3053, 0.8444]]
}

---

{
  "formula": "TbSi2Rh5",
  "functional": "PBE-GGA",
  "state": "relaxed",
  "final_energy_ev_per_cell": -58.6,
  "mass_density_g_cm3": 9.52,
  "space_group": "Immm (71)",
  "cell": [[-1.9285, 3.3266, 4.9598], [1.9285, -3.3266, 4.9598], [1.9285, 3.3266, -4.9598]],
  "species": ["Tb", "Si", "Si", "Rh", "Rh", "Rh", "Rh", "Rh"],
  "fractional_positions": [[0.0000, 0.0000, 0.0000], [0.2660, 0.7660, 0.5000], [0.7340, 0.2340, 0.5000], [0.1509, 0.3551, 0.7958], [0.4407, 0.6449, 0.7958], [0.5000, 0.0000, 0.5000], [0.5593, 0.3551, 0.2042], [0.8491, 0.6449, 0.2042]]
}

---

{
  "formula": "TbSi3Rh3",
  "functional": "PBE-GGA",
  "state": "relaxed",
  "final_energy_ev_per_cell": -95.5,
  "e_above_lowest_polymorph_mev_per_atom": 63,
  "mass_density_g_cm3": 7.09,
  "space_group": "R-3 (148)",
  "cell": [[3.3553, 1.9372, 6.6263], [-3.3553, 1.9372, 6.6263], [0.0000, -3.8743, 6.6263]],
  "species": ["Tb", "Tb", "Si", "Si", "Si", "Si", "Si", "Si", "Rh", "Rh", "Rh", "Rh", "Rh", "Rh"],
  "fractional_positions": [[0.1677, 0.1677, 0.1677], [0.8323, 0.8323, 0.8323], [0.1347, 0.3894, 0.6990], [0.3010, 0.8653, 0.6106], [0.3894, 0.6990, 0.1347], [0.6106, 0.3010, 0.8653], [0.6990, 0.1347, 0.3894], [0.8653, 0.6106, 0.3010], [0.0015, 0.7389, 0.4039], [0.2611, 0.5961, 0.9985], [0.4039, 0.0015, 0.7389], [0.5961, 0.9985, 0.2611], [0.7389, 0.4039, 0.0015], [0.9985, 0.2611, 0.5961]]
}

---

{
  "formula": "TbSi2Rh",
  "functional": "PBE-GGA",
  "state": "relaxed",
  "final_energy_ev_per_cell": -26.4,
  "mass_density_g_cm3": 7.44,
  "space_group": "R-3m (166)",
  "cell": [[2.0381, 1.1767, 4.9297], [-2.0381, 1.1767, 4.9297], [0.0000, -2.3534, 4.9297]],
  "species": ["Tb", "Si", "Si", "Rh"],
  "fractional_positions": [[0.0000, 0.0000, 0.0000], [0.2120, 0.2120, 0.2120], [0.7880, 0.7880, 0.7880], [0.5000, 0.5000, 0.5000]]
}

---

{
  "formula": "Tb2Si3Rh5",
  "functional": "PBE-GGA",
  "state": "relaxed",
  "final_energy_ev_per_cell": -143.2,
  "mass_density_g_cm3": 9.39,
  "space_group": "Cmc2_1 (36)",
  "cell": [[2.0293, -12.1400, 0.0000], [2.0293, 12.1400, 0.0000], [0.0000, 0.0000, 6.5791]],
  "species": ["Tb", "Tb", "Tb", "Tb", "Si", "Si", "Si", "Si", "Si", "Si", "Rh", "Rh", "Rh", "Rh", "Rh", "Rh", "Rh", "Rh", "Rh", "Rh"],
  "fractional_positions": [[0.0196, 0.9804, 0.5000], [0.3241, 0.6759, 0.4906], [0.6759, 0.3241, 0.9906], [0.9804, 0.0196, 0.0000], [0.1115, 0.8885, 0.7564], [0.2715, 0.7285, 0.9786], [0.4496, 0.5504, 0.7078], [0.5504, 0.4496, 0.2078], [0.7285, 0.2715, 0.4786], [0.8885, 0.1115, 0.2564], [0.0995, 0.9005, 0.1491], [0.2075, 0.7925, 0.6847], [0.2101, 0.7899, 0.2723], [0.3701, 0.6299, 0.9732], [0.4418, 0.5582, 0.3400], [0.5582, 0.4418, 0.8400], [0.6299, 0.3701, 0.4732], [0.7899, 0.2101, 0.7723], [0.7925, 0.2075, 0.1847], [0.9005, 0.0995, 0.6491]]
}

---

{
  "formula": "TbSi2Rh3",
  "functional": "PBE-GGA",
  "state": "relaxed",
  "final_energy_ev_per_cell": -85.2,
  "e_above_lowest_polymorph_mev_per_atom": 185,
  "mass_density_g_cm3": 8.86,
  "space_group": "Cmcm (63)",
  "cell": [[4.5828, -3.9792, 0.0000], [4.5828, 3.9792, 0.0000], [0.0000, 0.0000, 5.3821]],
  "species": ["Tb", "Tb", "Si", "Si", "Si", "Si", "Rh", "Rh", "Rh", "Rh", "Rh", "Rh"],
  "fractional_positions": [[0.1665, 0.8335, 0.7500], [0.8335, 0.1665, 0.2500], [0.2773, 0.2773, 0.0000], [0.2773, 0.2773, 0.5000], [0.7227, 0.7227, 0.0000], [0.7227, 0.7227, 0.5000], [0.0325, 0.6166, 0.2500], [0.3834, 0.9675, 0.2500], [0.4836, 0.5164, 0.2500], [0.5164, 0.4836, 0.7500], [0.6166, 0.0325, 0.7500], [0.9675, 0.3834, 0.7500]]
}

---

{
  "formula": "TbSi2Rh3",
  "functional": "PBE-GGA",
  "state": "relaxed",
  "final_energy_ev_per_cell": -43.7,
  "e_above_lowest_polymorph_mev_per_atom": 0,
  "mass_density_g_cm3": 8.94,
  "space_group": "P6/mmm (191)",
  "cell": [[5.5378, 0.0000, 0.0000], [-2.7689, 4.7959, 0.0000], [0.0000, 0.0000, 3.6644]],
  "species": ["Tb", "Si", "Si", "Rh", "Rh", "Rh"],
  "fractional_positions": [[0.0000, 0.0000, 0.0000], [0.3333, 0.6667, 0.0000], [0.6667, 0.3333, 0.0000], [0.0000, 0.5000, 0.5000], [0.5000, 0.0000, 0.5000], [0.5000, 0.5000, 0.5000]]
}

---

{
  "formula": "TbSi3Rh3",
  "functional": "PBE-GGA",
  "state": "relaxed",
  "final_energy_ev_per_cell": -92.9,
  "e_above_lowest_polymorph_mev_per_atom": 252,
  "mass_density_g_cm3": 6.73,
  "space_group": "Pm-3n (223)",
  "cell": [[6.4815, 0.0000, 0.0000], [0.0000, 6.4815, 0.0000], [0.0000, 0.0000, 6.4815]],
  "species": ["Tb", "Tb", "Si", "Si", "Si", "Si", "Si", "Si", "Rh", "Rh", "Rh", "Rh", "Rh", "Rh"],
  "fractional_positions": [[0.0000, 0.0000, 0.0000], [0.5000, 0.5000, 0.5000], [0.0000, 0.2500, 0.5000], [0.0000, 0.7500, 0.5000], [0.2500, 0.5000, 0.0000], [0.5000, 0.0000, 0.2500], [0.5000, 0.0000, 0.7500], [0.7500, 0.5000, 0.0000], [0.0000, 0.5000, 0.2500], [0.0000, 0.5000, 0.7500], [0.2500, 0.0000, 0.5000], [0.5000, 0.2500, 0.0000], [0.5000, 0.7500, 0.0000], [0.7500, 0.0000, 0.5000]]
}

---

{
  "formula": "Tb4Si3Rh",
  "functional": "PBE-GGA",
  "state": "relaxed",
  "final_energy_ev_per_cell": -48.7,
  "mass_density_g_cm3": 7.73,
  "space_group": "Pmm2 (25)",
  "cell": [[3.8715, 0.0000, 0.0000], [0.0000, 4.2557, 0.0000], [0.0000, 0.0000, 10.7334]],
  "species": ["Tb", "Tb", "Tb", "Tb", "Si", "Si", "Si", "Rh"],
  "fractional_positions": [[0.0000, 0.0000, 0.0000], [0.0000, 0.5000, 0.4943], [0.5000, 0.0000, 0.2789], [0.5000, 0.5000, 0.7804], [0.0000, 0.0000, 0.7062], [0.0000, 0.5000, 0.2112], [0.5000, 0.0000, 0.5624], [0.5000, 0.5000, 0.0623]]
}

---

{
  "formula": "Tb3Si3Rh2",
  "functional": "PBE-GGA",
  "state": "relaxed",
  "final_energy_ev_per_cell": -209.9,
  "e_above_lowest_polymorph_mev_per_atom": 34,
  "mass_density_g_cm3": 8.01,
  "space_group": "Pnma (62)",
  "cell": [[7.9408, 0.0000, 0.0000], [0.0000, 13.9960, 0.0000], [0.0000, 0.0000, 5.7190]],
  "species": ["Tb", "Tb", "Tb", "Tb", "Tb", "Tb", "Tb", "Tb", "Tb", "Tb", "Tb", "Tb", "Si", "Si", "Si", "Si", "Si", "Si", "Si", "Si", "Si", "Si", "Si", "Si", "Rh", "Rh", "Rh", "Rh", "Rh", "Rh", "Rh", "Rh"],
  "fractional_positions": [[0.0425, 0.1131, 0.1243], [0.0425, 0.3869, 0.1243], [0.1911, 0.2500, 0.6285], [0.3089, 0.7500, 0.1285], [0.4575, 0.6131, 0.6243], [0.4575, 0.8869, 0.6243], [0.5425, 0.1131, 0.3757], [0.5425, 0.3869, 0.3757], [0.6911, 0.2500, 0.8715], [0.8089, 0.7500, 0.3715], [0.9575, 0.6131, 0.8757], [0.9575, 0.8869, 0.8757], [0.1609, 0.7500, 0.5978], [0.1977, 0.0404, 0.6286], [0.1977, 0.4596, 0.6286], [0.3023, 0.5404, 0.1286], [0.3023, 0.9596, 0.1286], [0.3391, 0.2500, 0.0978], [0.6609, 0.7500, 0.9022], [0.6977, 0.0404, 0.8714], [0.6977, 0.4596, 0.8714], [0.8023, 0.5404, 0.3714], [0.8023, 0.9596, 0.3714], [0.8391, 0.2500, 0.4022], [0.0869, 0.5908, 0.3907], [0.0869, 0.9092, 0.3907], [0.4131, 0.0908, 0.8907], [0.4131, 0.4092, 0.8907], [0.5869, 0.5908, 0.1093], [0.5869, 0.9092, 0.1093], [0.9131, 0.0908, 0.6093], [0.9131, 0.4092, 0.6093]]
}

---

{
  "formula": "Tb3Si2Rh2",
  "functional": "PBE-GGA",
  "state": "relaxed",
  "final_energy_ev_per_cell": -184.2,
  "mass_density_g_cm3": 8.59,
  "space_group": "Pbcm (57)",
  "cell": [[5.5851, 0.0000, 0.0000], [0.0000, 7.7813, 0.0000], [0.0000, 0.0000, 13.1384]],
  "species": ["Tb", "Tb", "Tb", "Tb", "Tb", "Tb", "Tb", "Tb", "Tb", "Tb", "Tb", "Tb", "Si", "Si", "Si", "Si", "Si", "Si", "Si", "Si", "Rh", "Rh", "Rh", "Rh", "Rh", "Rh", "Rh", "Rh"],
  "fractional_positions": [[0.1326, 0.2482, 0.2500], [0.1326, 0.2518, 0.7500], [0.3620, 0.6077, 0.1022], [0.3620, 0.6077, 0.3978], [0.3620, 0.8923, 0.6022], [0.3620, 0.8923, 0.8978], [0.6380, 0.1077, 0.1022], [0.6380, 0.1077, 0.3978], [0.6380, 0.3923, 0.6022], [0.6380, 0.3923, 0.8978], [0.8674, 0.7482, 0.2500], [0.8674, 0.7518, 0.7500], [0.1309, 0.2500, 0.0000], [0.1309, 0.2500, 0.5000], [0.3587, 0.6042, 0.7500], [0.3587, 0.8958, 0.2500], [0.6413, 0.1042, 0.7500], [0.6413, 0.3958, 0.2500], [0.8691, 0.7500, 0.0000], [0.8691, 0.7500, 0.5000], [0.1315, 0.5346, 0.5911], [0.1315, 0.5346, 0.9089], [0.1315, 0.9654, 0.0911], [0.1315, 0.9654, 0.4089], [0.8685, 0.0346, 0.5911], [0.8685, 0.0346, 0.9089], [0.8685, 0.4654, 0.0911], [0.8685, 0.4654, 0.4089]]
}